No. 1
La2Sm5Er3 | Alexandria | PBE | relaxed; crystal system = monoclinic; raw total energy = -4.526 eV per atom; DOS at the Fermi energy = 33.88 states/eV/cell
1.0
-9.375 -1.085 1.143
-1.777 -6.943 6.309
5.679 9.403 2.234
Sm Er La
10 6 4
direct
0.020 0.770 0.540 Sm
0.873 0.614 0.769 Sm
0.980 0.230 0.460 Sm
0.282 0.532 0.063 Sm
0.718 0.468 0.937 Sm
0.127 0.386 0.231 Sm
0.522 0.272 0.544 Sm
0.478 0.728 0.456 Sm
0.604 0.845 0.231 Sm
0.396 0.155 0.769 Sm
0.007 0.778 0.240 Er
0.774 0.024 0.049 Er
0.267 0.538 0.760 Er
0.993 0.222 0.760 Er
0.733 0.462 0.240 Er
0.226 0.976 0.951 Er
0.468 0.732 0.749 La
0.218 0.983 0.251 La
0.532 0.268 0.251 La
0.782 0.017 0.749 La

No. 2
La2SmEr | Alexandria | PBE | relaxed; crystal system = trigonal; raw total energy = -4.758 eV per atom; DOS at the Fermi energy = 6.48 states/eV/cell
1.0
3.664 0.000 0.000
1.832 3.173 0.000
1.832 1.058 11.876
La Er Sm
2 1 1
direct
0.082 0.082 0.753 La
0.251 0.251 0.247 La
0.668 0.668 0.997 Er
0.499 0.499 0.503 Sm

No. 3
La2Sm3Er4 | Alexandria | PBE | relaxed; crystal system = triclinic; raw total energy = -4.670 eV per atom; DOS at the Fermi energy = 12.82 states/eV/cell
1.0
6.194 -0.860 -0.328
-4.242 8.271 -2.151
-0.658 0.506 6.157
Sm Er La
3 4 2
direct
0.000 0.000 0.000 Sm
0.890 0.779 0.442 Sm
0.110 0.221 0.558 Sm
0.780 0.555 0.891 Er
0.220 0.445 0.109 Er
0.558 0.111 0.777 Er
0.442 0.889 0.223 Er
0.336 0.668 0.668 La
0.664 0.332 0.332 La

No. 4
La2Sm5Er12 | Alexandria | PBE | relaxed; crystal system = triclinic; raw total energy = -4.572 eV per atom; DOS at the Fermi energy = 29.34 states/eV/cell
1.0
-6.028 -0.621 1.690
4.535 -5.740 -7.933
2.849 -1.780 13.431
Er Sm La
12 5 2
direct
0.635 0.454 0.659 Er
0.874 0.895 0.729 Er
0.365 0.546 0.341 Er
0.431 0.933 0.607 Er
0.291 0.217 0.050 Er
0.969 0.617 0.252 Er
0.123 0.722 0.052 Er
0.569 0.067 0.393 Er
0.126 0.105 0.271 Er
0.877 0.278 0.948 Er
0.031 0.383 0.748 Er
0.709 0.783 0.950 Er
0.000 0.000 0.500 Sm
0.224 0.491 0.552 Sm
0.460 0.333 0.844 Sm
0.540 0.667 0.156 Sm
0.776 0.509 0.448 Sm
0.704 0.164 0.158 La
0.296 0.836 0.842 La

No. 5
LaSmEr4 | Alexandria | PBE | relaxed; crystal system = monoclinic; raw total energy = -4.620 eV per atom; DOS at the Fermi energy = 8.49 states/eV/cell
1.0
-0.275 1.584 4.772
-7.128 -2.937 -2.095
11.101 -1.719 1.211
Er Sm La
4 1 1
direct
0.835 0.671 0.503 Er
0.333 0.667 0.003 Er
0.667 0.333 0.997 Er
0.165 0.329 0.497 Er
0.500 0.000 0.500 Sm
0.000 0.000 0.000 La

No. 6
La2SmEr | Alexandria | PBE | relaxed; crystal system = tetragonal; raw total energy = -4.767 eV per atom; DOS at the Fermi energy = 5.96 states/eV/cell
1.0
-3.000 3.539 -2.078
-4.134 -3.070 0.741
-0.739 2.127 4.690
Er La Sm
1 2 1
direct
0.500 0.500 0.500 Er
0.000 0.000 0.500 La
0.000 0.500 0.000 La
0.500 0.000 0.000 Sm

No. 7
LaSmEr2 | Alexandria | PBE | relaxed; crystal system = orthorhombic; raw total energy = -4.665 eV per atom; DOS at the Fermi energy = 25.47 states/eV/cell
1.0
-1.495 4.452 2.007
-8.938 -4.166 2.585
3.861 -2.735 8.943
La Er Sm
4 8 4
direct
0.250 0.127 0.500 La
0.250 0.627 0.000 La
0.750 0.873 0.500 La
0.750 0.373 0.000 La
0.250 0.875 0.752 Er
0.750 0.879 0.999 Er
0.250 0.121 0.001 Er
0.750 0.379 0.501 Er
0.250 0.621 0.499 Er
0.250 0.375 0.748 Er
0.750 0.625 0.252 Er
0.750 0.125 0.248 Er
0.250 0.875 0.247 Sm
0.750 0.125 0.753 Sm
0.750 0.625 0.747 Sm
0.250 0.375 0.253 Sm

No. 8
LaSmEr2 | Alexandria | PBE | relaxed; crystal system = tetragonal; raw total energy = -4.663 eV per atom; DOS at the Fermi energy = 6.53 states/eV/cell
1.0
3.628 0.000 0.000
0.000 3.628 0.000
0.000 0.000 10.010
Er La Sm
2 1 1
direct
0.000 0.000 0.246 Er
0.000 0.000 0.754 Er
0.500 0.500 0.500 La
0.500 0.500 0.000 Sm

No. 9
La2Sm2Er | Alexandria | PBE | relaxed; crystal system = orthorhombic; raw total energy = -4.645 eV per atom; DOS at the Fermi energy = 18.04 states/eV/cell
1.0
5.782 0.000 0.000
0.000 3.600 0.000
-2.891 -1.800 16.550
La Sm Er
4 4 2
direct
0.063 0.813 0.126 La
0.458 0.708 0.916 La
0.542 0.292 0.084 La
0.937 0.187 0.874 La
0.367 0.117 0.735 Sm
0.729 0.979 0.457 Sm
0.633 0.883 0.265 Sm
0.271 0.021 0.543 Sm
0.824 0.574 0.648 Er
0.176 0.426 0.352 Er

No. 10
La4Sm3Er | Alexandria | PBE | relaxed; crystal system = orthorhombic; raw total energy = -4.457 eV per atom; DOS at the Fermi energy = 17.00 states/eV/cell
1.0
5.991 0.000 0.000
0.000 7.561 -0.781
0.000 -3.742 6.617
La Sm Er
4 3 1
direct
0.000 0.221 0.221 La
0.500 0.247 0.753 La
0.500 0.753 0.247 La
0.000 0.779 0.779 La
0.000 0.000 0.500 Sm
0.000 0.500 0.000 Sm
0.500 0.500 0.500 Sm
0.500 0.000 0.000 Er

No. 11
La12SmEr7 | Alexandria | PBE | relaxed; crystal system = trigonal; raw total energy = -4.596 eV per atom; DOS at the Fermi energy = 34.52 states/eV/cell
1.0
8.626 1.102 1.654
-1.340 8.593 1.654
-1.340 -1.783 8.567
La Er Sm
12 7 1
direct
0.854 0.267 0.717 La
0.146 0.733 0.283 La
0.144 0.482 0.610 La
0.390 0.856 0.518 La
0.283 0.146 0.733 La
0.518 0.390 0.856 La
0.733 0.283 0.146 La
0.482 0.610 0.144 La
0.856 0.518 0.390 La
0.610 0.144 0.482 La
0.717 0.854 0.267 La
0.267 0.717 0.854 La
0.858 0.624 0.940 Er
0.624 0.940 0.858 Er
0.142 0.376 0.060 Er
0.060 0.142 0.376 Er
0.500 0.500 0.500 Er
0.376 0.060 0.142 Er
0.940 0.858 0.624 Er
0.000 0.000 0.000 Sm

No. 12
LaSm5Er3 | Alexandria | PBE | relaxed; crystal system = monoclinic; raw total energy = -4.279 eV per atom; DOS at the Fermi energy = 26.67 states/eV/cell
1.0
-6.878 6.357 -1.379
-7.448 1.989 5.494
-2.494 10.784 6.645
La Sm Er
2 10 6
direct
0.900 0.900 0.861 La
0.100 0.100 0.139 La
0.557 0.557 0.574 Sm
0.491 0.083 0.776 Sm
0.509 0.917 0.224 Sm
0.083 0.491 0.776 Sm
0.443 0.443 0.426 Sm
0.320 0.680 0.000 Sm
0.632 0.632 0.064 Sm
0.680 0.320 0.000 Sm
0.368 0.368 0.936 Sm
0.917 0.509 0.224 Sm
0.828 0.828 0.340 Er
0.703 0.703 0.681 Er
0.172 0.172 0.660 Er
0.297 0.297 0.319 Er
0.000 0.000 0.000 Er
0.000 0.000 0.500 Er

No. 13
LaSm8Er5 | Alexandria | PBE | relaxed; crystal system = tetragonal; raw total energy = -4.443 eV per atom; DOS at the Fermi energy = 21.17 states/eV/cell
1.0
8.160 0.000 -2.460
-4.235 6.748 -3.029
0.310 0.000 8.517
Sm Er La
8 5 1
direct
0.924 0.089 0.661 Sm
0.718 0.252 0.324 Sm
0.676 0.395 0.929 Sm
0.071 0.748 0.466 Sm
0.165 0.737 0.076 Sm
0.534 0.605 0.282 Sm
0.573 0.911 0.835 Sm
0.339 0.263 0.427 Sm
0.500 0.000 0.500 Er
0.041 0.318 0.135 Er
0.277 0.093 0.959 Er
0.865 0.907 0.184 Er
0.816 0.682 0.723 Er
0.250 0.500 0.750 La

No. 14
La5Sm6Er | Alexandria | PBE | relaxed; crystal system = monoclinic; raw total energy = -4.777 eV per atom; DOS at the Fermi energy = 18.28 states/eV/cell
1.0
-3.535 5.281 0.087
-5.907 -0.090 -2.348
-5.412 -1.241 10.783
La Sm Er
5 6 1
direct
0.333 0.333 0.000 La
0.834 0.333 0.500 La
0.500 0.000 0.500 La
0.166 0.667 0.500 La
0.667 0.667 0.000 La
0.586 0.332 0.248 Sm
0.250 0.000 0.248 Sm
0.918 0.668 0.248 Sm
0.082 0.332 0.752 Sm
0.414 0.668 0.752 Sm
0.750 0.000 0.752 Sm
0.000 0.000 0.000 Er

No. 15
LaSm4Er | Alexandria | PBE | relaxed; crystal system = monoclinic; raw total energy = -4.542 eV per atom; DOS at the Fermi energy = 11.79 states/eV/cell
1.0
3.461 0.000 0.000
1.731 5.925 -0.244
1.731 0.183 10.102
Sm Er La
4 1 1
direct
0.154 0.033 0.659 Sm
0.846 0.967 0.341 Sm
0.655 0.539 0.152 Sm
0.345 0.461 0.848 Sm
0.000 0.000 0.000 Er
0.500 0.500 0.500 La

No. 16
La4SmEr3 | Alexandria | PBE | relaxed; crystal system = orthorhombic; raw total energy = -4.735 eV per atom; DOS at the Fermi energy = 27.39 states/eV/cell
1.0
-4.302 2.725 0.807
-2.444 -6.178 7.832
5.127 6.175 6.471
La Er Sm
8 6 2
direct
0.064 0.870 0.000 La
0.064 0.872 0.500 La
0.564 0.872 0.750 La
0.064 0.128 0.750 La
0.064 0.128 0.250 La
0.564 0.872 0.250 La
0.564 0.128 0.000 La
0.564 0.130 0.500 La
0.564 0.384 0.250 Er
0.064 0.616 0.750 Er
0.064 0.383 0.500 Er
0.064 0.616 0.250 Er
0.564 0.384 0.750 Er
0.564 0.617 0.000 Er
0.064 0.384 0.000 Sm
0.564 0.616 0.500 Sm

No. 17
La5Sm2Er2 | Alexandria | PBE | relaxed; crystal system = orthorhombic; raw total energy = -4.605 eV per atom; DOS at the Fermi energy = 23.70 states/eV/cell
1.0
11.824 0.000 0.000
0.000 6.976 0.000
-5.912 -3.488 7.515
Er Sm La
4 4 10
direct
0.378 0.910 0.742 Er
0.622 0.168 0.258 Er
0.136 0.668 0.258 Er
0.864 0.410 0.742 Er
0.000 0.075 0.000 Sm
0.254 0.350 0.500 Sm
0.500 0.575 0.000 Sm
0.746 0.850 0.500 Sm
0.221 0.168 0.900 La
0.370 0.023 0.289 La
0.997 0.641 0.500 La
0.821 0.768 0.100 La
0.581 0.234 0.711 La
0.179 0.668 0.900 La
0.779 0.268 0.100 La
0.630 0.734 0.711 La
0.419 0.523 0.289 La
0.003 0.141 0.500 La

No. 18
La3Sm2Er | Alexandria | PBE | relaxed; crystal system = hexagonal; raw total energy = -4.569 eV per atom; DOS at the Fermi energy = 18.55 states/eV/cell
1.0
-0.840 6.327 -2.635
-4.379 -2.353 4.792
5.883 3.796 7.240
La Sm Er
6 4 2
direct
0.675 0.000 0.250 La
0.000 0.325 0.750 La
0.325 0.000 0.750 La
0.325 0.325 0.250 La
0.000 0.675 0.250 La
0.675 0.675 0.750 La
0.333 0.667 0.000 Sm
0.333 0.667 0.500 Sm
0.667 0.333 0.000 Sm
0.667 0.333 0.500 Sm
0.000 0.000 0.000 Er
0.000 0.000 0.500 Er

No. 19
La7Sm2Er | Alexandria | PBE | relaxed; crystal system = orthorhombic; raw total energy = -4.277 eV per atom; DOS at the Fermi energy = 17.84 states/eV/cell
1.0
-0.253 5.626 -0.465
-3.869 0.526 8.475
9.235 0.307 -1.304
La Sm Er
7 2 1
direct
0.500 0.298 0.072 La
0.500 0.500 0.500 La
0.000 0.762 0.238 La
0.500 0.702 0.928 La
0.500 0.928 0.702 La
0.000 0.238 0.762 La
0.500 0.072 0.298 La
0.500 0.702 0.298 Sm
0.500 0.298 0.702 Sm
0.000 0.000 0.000 Er

No. 20
La5Sm2Er5 | Alexandria | PBE | relaxed; crystal system = monoclinic; raw total energy = -4.712 eV per atom; DOS at the Fermi energy = 18.84 states/eV/cell
1.0
-2.430 -3.983 -2.093
6.637 -3.123 -8.008
0.916 -6.426 4.918
Er Sm La
5 2 5
direct
0.668 0.748 0.916 Er
0.667 0.000 0.666 Er
0.332 0.252 0.084 Er
0.000 0.500 0.500 Er
0.333 0.000 0.334 Er
0.333 0.501 0.833 Sm
0.667 0.499 0.167 Sm
0.669 0.250 0.412 La
0.331 0.750 0.588 La
0.001 0.750 0.248 La
0.000 0.000 0.000 La
0.999 0.250 0.752 La